Record 1
# BaLi4Pt

Crystalline BaLi4Pt at its relaxed geometry (GGA-PBE, Alexandria via LeMat-Bulk).

Summary:
Formation enthalpy at 0 K: -9.4 kJ per mole of atoms
Theoretical density: 4.8 g/cm³

Structure (POSCAR):
```
BaLi4Pt
1.0
0.000 3.961 3.961
3.961 0.000 3.961
3.961 3.961 0.000
Pt Li Ba
1 4 1
direct
0.750 0.750 0.750
0.379 0.379 0.379
0.863 0.379 0.379
0.379 0.863 0.379
0.379 0.379 0.863
0.000 0.000 0.000
```

---

Record 2
# BaLi2Pt3

Crystalline BaLi2Pt3 at its relaxed geometry (GGA-PBE, Alexandria via LeMat-Bulk).

Summary:
Formation enthalpy at 0 K: -68.5 kJ per mole of atoms
Theoretical density: 11.0 g/cm³

Structure (POSCAR):
```
BaLi2Pt3
1.0
4.120 0.000 0.000
0.000 4.832 -2.782
0.000 -0.006 5.576
Pt Li Ba
3 2 1
direct
0.500 0.001 0.500
0.500 0.501 0.500
0.500 0.501 0.000
0.000 0.335 0.667
0.000 0.668 0.333
0.000 0.001 0.000
```

---

Record 3
# BaLi6Pt6

Crystalline BaLi6Pt6 at its relaxed geometry (GGA-PBE, Alexandria via LeMat-Bulk).

Summary:
Formation enthalpy at 0 K: -61.5 kJ per mole of atoms
Theoretical density: 10.1 g/cm³

Structure (POSCAR):
```
BaLi6Pt6
1.0
5.032 0.000 2.011
2.422 6.396 1.242
0.141 0.101 6.949
Pt Li Ba
6 6 1
direct
0.500 0.242 0.758
0.500 0.500 0.000
0.500 0.758 0.242
0.000 0.500 0.000
0.000 0.000 0.500
0.500 0.000 0.500
0.300 0.200 0.200
0.700 0.800 0.800
0.000 0.661 0.339
0.354 0.646 0.646
0.000 0.339 0.661
0.646 0.354 0.354
0.000 0.000 0.000
```

---

Record 4
# BaLi3Pt3

Crystalline BaLi3Pt3 at its relaxed geometry (GGA-PBE, Alexandria via LeMat-Bulk).

Summary:
Formation enthalpy at 0 K: -15.0 kJ per mole of atoms
Theoretical density: 8.3 g/cm³

Structure (POSCAR):
```
BaLi3Pt3
1.0
6.681 0.000 0.000
0.000 6.681 0.000
0.000 0.000 6.681
Pt Li Ba
6 6 2
direct
0.000 0.500 0.250
0.000 0.500 0.750
0.750 0.000 0.500
0.500 0.750 0.000
0.250 0.000 0.500
0.500 0.250 0.000
0.500 0.000 0.750
0.000 0.250 0.500
0.750 0.500 0.000
0.000 0.750 0.500
0.250 0.500 0.000
0.500 0.000 0.250
0.000 0.000 0.000
0.500 0.500 0.500
```